1.
Here is an optimized crystal structure of Li2SeO6 from Alexandria. Energies are from PBE-GGA.

Density of states at the Fermi level   0.601 states/eV/atom
Energy relative to the elements, uncorrected   -444 kJ/mol of formula units

a b c (Å): 4.6673 4.6673 9.2193
angles (deg): 90.00 90.00 90.00
Space group P4_2/mnm (No. 136)
Asymmetric unit:
Li: 0.0000 0.0000 0.1625 (multiplicity 4)
Se: 0.0000 0.0000 0.5000 (multiplicity 2)
O: 0.1840 0.1840 0.3588 (multiplicity 8)
O: 0.2284 0.2284 0.0000 (multiplicity 4)

2.
Here is an optimized crystal structure of Na2MgGe3Au12 from Alexandria. Energies are from PBE-GGA.

Density of states at the Fermi level   0.304 states/eV/atom
Formation energy   -0.07 eV/atom

a b c (Å): 9.5662 9.5662 13.5891
angles (deg): 90.00 90.00 120.00
Space group R-3m (No. 166, hexagonal axes)
Asymmetric unit:
Na: 0.0000 0.0000 0.1225 (multiplicity 6)
Mg: 0.0000 0.0000 0.5000 (multiplicity 3)
Ge: 0.0000 0.5000 0.0000 (multiplicity 9)
Au: 0.0049 0.5024 0.1957 (multiplicity 18)
Au: 0.0320 0.5160 0.3987 (multiplicity 18)

3.
Here is an optimized crystal structure of P2AuCl from Alexandria. Energies are from PBE-GGA.

Density of states at the Fermi level   0.411 states/eV/atom
Energy relative to the elements, uncorrected   196 kJ/mol of formula units
Energy above the lowest structure with this stoichiometry   513.5 meV per atom

a b c (Å): 3.4987 3.4987 7.7597
angles (deg): 90.00 90.00 90.00
Space group P4/mmm (No. 123)
Asymmetric unit:
P: 0.0000 0.5000 0.0000 (multiplicity 2)
Au: 0.0000 0.0000 0.5000 (multiplicity 1)
Cl: 0.5000 0.5000 0.5000 (multiplicity 1)

4.
Here is an optimized crystal structure of Tl2MoPb from Alexandria. Energies are from PBE-GGA.

Density of states at the Fermi level   0.688 states/eV/atom
Formation energy   0.52 eV/atom
Energy above the lowest structure with this stoichiometry   33.7 meV per atom

a b c (Å): 3.7552 5.0521 10.7462
angles (deg): 90.00 90.00 90.00
Space group Cmm2 (No. 35)
Asymmetric unit:
Tl: 0.0000 0.0000 0.0000 (multiplicity 2)
Tl: 0.0000 0.5000 0.2715 (multiplicity 2)
Mo: 0.0000 0.5000 0.7885 (multiplicity 2)
Pb: 0.0000 0.0000 0.5791 (multiplicity 2)

5.
Here is an optimized crystal structure of AcZn2Ni3 from Alexandria. Energies are from PBE-GGA.

Density of states at the Fermi level   0.448 states/eV/atom
Formation energy   -0.31 eV/atom
Energy above the lowest structure with this stoichiometry   0.0 meV per atom

a b c (Å): 5.3947 5.3947 3.8998
angles (deg): 90.00 90.00 120.00
Space group P6/mmm (No. 191)
Asymmetric unit:
Ac: 0.0000 0.0000 0.0000 (multiplicity 1)
Zn: 0.3333 0.6667 0.0000 (multiplicity 2)
Ni: 0.0000 0.5000 0.5000 (multiplicity 3)

6.
Here is an optimized crystal structure of Ac2PrIO8 from Alexandria. Energies are from PBE-GGA.

Density of states at the Fermi level   0.000 states/eV/atom
Energy relative to the elements, uncorrected   -2568 kJ/mol of formula units

a b c (Å): 7.5323 7.6660 7.2906
angles (deg): 90.00 90.00 90.00
Space group Cmmm (No. 65)
Asymmetric unit:
Ac: 0.0000 0.0000 0.2429 (multiplicity 4)
Pr: 0.0000 0.5000 0.5000 (multiplicity 2)
I: 0.0000 0.5000 0.0000 (multiplicity 2)
O: 0.0000 0.3299 0.1964 (multiplicity 8)
O: 0.1928 0.0000 0.5000 (multiplicity 4)
O: 0.2491 0.0000 0.0000 (multiplicity 4)

7.
Here is an optimized crystal structure of Rb2MnSeCl6 from Alexandria. Energies are from PBE-GGA.

Density of states at the Fermi level   0.987 states/eV/atom
Energy relative to the elements, uncorrected   -1078 kJ/mol of formula units

a b c (Å): 7.6649 7.6649 10.2475
angles (deg): 90.00 90.00 90.00
Space group I4/mmm (No. 139)
Asymmetric unit:
Rb: 0.0000 0.5000 0.2500 (multiplicity 4)
Mn: 0.0000 0.0000 0.0000 (multiplicity 2)
Se: 0.0000 0.0000 0.5000 (multiplicity 2)
Cl: 0.0000 0.0000 0.2646 (multiplicity 4)
Cl: 0.2136 0.2136 0.0000 (multiplicity 8)

8.
Here is an optimized crystal structure of La4TlHg from Alexandria. Energies are from PBE-GGA.

Density of states at the Fermi level   1.283 states/eV/atom
Formation energy   -0.31 eV/atom
Energy above the lowest structure with this stoichiometry   0.0 meV per atom

a b c (Å): 9.3427 3.8823 21.7063
angles (deg): 90.00 90.00 90.00
Space group Pnma (No. 62)
Asymmetric unit:
La: 0.0282 0.2500 0.0707 (multiplicity 4)
La: 0.0317 0.2500 0.7852 (multiplicity 4)
La: 0.1302 0.2500 0.3374 (multiplicity 4)
La: 0.1332 0.2500 0.5601 (multiplicity 4)
Tl: 0.2318 0.7500 0.6882 (multiplicity 4)
Hg: 0.2435 0.7500 0.4472 (multiplicity 4)

9.
Here is an optimized crystal structure of CaFe2Se from Alexandria. Energies are from PBE-GGA.

Density of states at the Fermi level   1.010 states/eV/atom
Energy relative to the elements, uncorrected   59 kJ/mol of formula units
Energy above the lowest structure with this stoichiometry   369.1 meV per atom

a b c (Å): 5.4701 10.2162 3.8577
angles (deg): 90.00 134.81 90.00
Space group C2/m (No. 12)
Asymmetric unit:
Ca: 0.0000 0.0000 0.0000 (multiplicity 2)
Fe: 0.2500 0.2500 0.0000 (multiplicity 4)
Se: 0.0000 0.5000 0.0000 (multiplicity 2)

10.
Here is an optimized crystal structure of Ag3F from Alexandria. Energies are from PBE-GGA.

Density of states at the Fermi level   0.265 states/eV/atom
Energy relative to the elements, uncorrected   -168 kJ/mol of formula units
Energy above the lowest structure with this stoichiometry   31.1 meV per atom

a b c (Å): 2.9108 2.9431 7.9056
angles (deg): 90.00 90.00 90.00
Space group Pmm2 (No. 25)
Asymmetric unit:
Ag: 0.0000 0.0000 0.0000 (multiplicity 1)
Ag: 0.0000 0.5000 0.3042 (multiplicity 1)
Ag: 0.5000 0.5000 0.7420 (multiplicity 1)
F: 0.5000 0.0000 0.4951 (multiplicity 1)

11.
Here is an optimized crystal structure of CeLuPuMg from Alexandria. Energies are from PBE-GGA.

Density of states at the Fermi level   3.870 states/eV/atom
Formation energy   0.14 eV/atom

a b c (Å): 7.5796 7.5796 7.5796
angles (deg): 90.00 90.00 90.00
Space group F-43m (No. 216)
Asymmetric unit:
Ce: 0.0000 0.0000 0.0000 (multiplicity 4)
Lu: 0.0000 0.0000 0.5000 (multiplicity 4)
Pu: 0.2500 0.2500 0.2500 (multiplicity 4)
Mg: 0.2500 0.2500 0.7500 (multiplicity 4)

12.
Here is an optimized crystal structure of CoHgPt2 from Alexandria. Energies are from PBE-GGA.

Density of states at the Fermi level   1.493 states/eV/atom
Formation energy   0.09 eV/atom

a b c (Å): 2.8250 2.8250 28.0326
angles (deg): 90.00 90.00 120.00
Space group R-3m (No. 166, hexagonal axes)
Asymmetric unit:
Co: 0.0000 0.0000 0.0000 (multiplicity 3)
Hg: 0.0000 0.0000 0.5000 (multiplicity 3)
Pt: 0.0000 0.0000 0.2603 (multiplicity 6)

13.
Here is an optimized crystal structure of KTcAu from Alexandria. Energies are from PBE-GGA.

Density of states at the Fermi level   0.804 states/eV/atom
Formation energy   0.66 eV/atom
Energy above the lowest structure with this stoichiometry   0.0 meV per atom

a b c (Å): 2.7174 4.4961 12.0284
angles (deg): 90.00 90.00 90.00
Space group Imm2 (No. 44)
Asymmetric unit:
K: 0.0000 0.0000 0.0000 (multiplicity 2)
Tc: 0.0000 0.0000 0.7238 (multiplicity 2)
Au: 0.0000 0.0000 0.2822 (multiplicity 2)

14.
Here is an optimized crystal structure of Ca3Pr2HoTe6 from Alexandria. Energies are from PBE-GGA.

Density of states at the Fermi level   0.431 states/eV/atom
Energy relative to the elements, uncorrected   -1728 kJ/mol of formula units

a b c (Å): 7.7156 13.3415 7.8629
angles (deg): 90.00 109.12 90.00
Space group C2/m (No. 12)
Asymmetric unit:
Ca: 0.0000 0.0000 0.0000 (multiplicity 2)
Ca: 0.0000 0.3293 0.0000 (multiplicity 4)
Pr: 0.0000 0.1653 0.5000 (multiplicity 4)
Ho: 0.0000 0.5000 0.5000 (multiplicity 2)
Te: 0.2376 0.5000 0.2458 (multiplicity 4)
Te: 0.2452 0.3382 0.7517 (multiplicity 8)

15.
Here is an optimized crystal structure of Zr2Zn16Pt from Alexandria. Energies are from PBE-GGA.

Density of states at the Fermi level   0.274 states/eV/atom
Formation energy   -0.20 eV/atom

a b c (Å): 8.8077 8.8077 12.9780
angles (deg): 90.00 90.00 120.00
Space group R3m (No. 160, hexagonal axes)
Asymmetric unit:
Zr: 0.0000 0.0000 0.0000 (multiplicity 3)
Zr: 0.0000 0.0000 0.3339 (multiplicity 3)
Zn: 0.0000 0.0000 0.5651 (multiplicity 3)
Zn: 0.0007 0.2981 0.6695 (multiplicity 18)
Zn: 0.0011 0.5005 0.1683 (multiplicity 9)
Zn: 0.0174 0.5087 0.8178 (multiplicity 9)
Zn: 0.1700 0.3401 0.8531 (multiplicity 9)
Pt: 0.0000 0.0000 0.7706 (multiplicity 3)

16.
Here is an optimized crystal structure of Cs3NdEr2Se6 from Alexandria. Energies are from PBE-GGA.

Density of states at the Fermi level   0.000 states/eV/atom
Energy relative to the elements, uncorrected   -1989 kJ/mol of formula units

a b c (Å): 7.4337 12.8748 8.7408
angles (deg): 90.00 106.48 90.00
Space group C2/m (No. 12)
Asymmetric unit:
Cs: 0.0000 0.0000 0.0000 (multiplicity 2)
Cs: 0.0000 0.3355 0.0000 (multiplicity 4)
Nd: 0.0000 0.5000 0.5000 (multiplicity 2)
Er: 0.0000 0.1668 0.5000 (multiplicity 4)
Se: 0.2186 0.0000 0.6854 (multiplicity 4)
Se: 0.2338 0.3283 0.6864 (multiplicity 8)

17.
Here is an optimized crystal structure of La2Tb5Er from Alexandria. Energies are from PBE-GGA.

Density of states at the Fermi level   1.622 states/eV/atom
Formation energy   0.03 eV/atom

a b c (Å): 5.1056 5.1056 20.2866
angles (deg): 90.00 90.00 90.00
Space group I4/mmm (No. 139)
Asymmetric unit:
La: 0.0000 0.0000 0.2502 (multiplicity 4)
Tb: 0.0000 0.0000 0.0000 (multiplicity 2)
Tb: 0.0000 0.5000 0.1215 (multiplicity 8)
Er: 0.0000 0.0000 0.5000 (multiplicity 2)

18.
Here is an optimized crystal structure of BC3 from Alexandria. Energies are from PBE-GGA.

Density of states at the Fermi level   0.149 states/eV/atom
Formation energy   0.27 eV/atom
Energy above the lowest structure with this stoichiometry   26.4 meV per atom

a b c (Å): 2.5439 2.5439 13.1756
angles (deg): 90.00 90.00 120.00
Space group P3m1 (No. 156)
Asymmetric unit:
B: 0.0000 0.0000 0.0000 (multiplicity 1)
B: 0.0000 0.0000 0.4041 (multiplicity 1)
B: 0.6667 0.3333 0.3262 (multiplicity 1)
C: 0.0000 0.0000 0.5246 (multiplicity 1)
C: 0.0000 0.0000 0.8764 (multiplicity 1)
C: 0.3333 0.6667 0.0508 (multiplicity 1)
C: 0.3333 0.6667 0.1655 (multiplicity 1)
C: 0.3333 0.6667 0.5633 (multiplicity 1)
C: 0.3333 0.6667 0.6821 (multiplicity 1)
C: 0.6667 0.3333 0.2062 (multiplicity 1)
C: 0.6667 0.3333 0.7197 (multiplicity 1)
C: 0.6667 0.3333 0.8394 (multiplicity 1)

19.
Here is an optimized crystal structure of Ho6InRh from Alexandria. Energies are from PBE-GGA.

Density of states at the Fermi level   1.304 states/eV/atom
Formation energy   -0.15 eV/atom

a b c (Å): 7.9855 9.9957 6.3615
angles (deg): 90.00 105.52 90.00
Space group C2/m (No. 12)
Asymmetric unit:
Ho: 0.1054 0.1931 0.2917 (multiplicity 8)
Ho: 0.2150 0.5000 0.1372 (multiplicity 4)
In: 0.0000 0.5000 0.5000 (multiplicity 2)
Rh: 0.0000 0.0000 0.0000 (multiplicity 2)

20.
Here is an optimized crystal structure of Tl2Cd3Sb3 from Alexandria. Energies are from PBE-GGA.

Density of states at the Fermi level   0.155 states/eV/atom
Energy relative to the elements, uncorrected   -53 kJ/mol of formula units

a b c (Å): 17.4735 4.9910 12.1013
angles (deg): 90.00 112.31 90.00
Space group C2/m (No. 12)
Asymmetric unit:
Tl: 0.1765 0.0000 0.3846 (multiplicity 4)
Tl: 0.1882 0.5000 0.8854 (multiplicity 4)
Cd: 0.0551 0.0000 0.7733 (multiplicity 4)
Cd: 0.1059 0.5000 0.5684 (multiplicity 4)
Cd: 0.1339 0.5000 0.1587 (multiplicity 4)
Sb: 0.0320 0.5000 0.3116 (multiplicity 4)
Sb: 0.0879 0.0000 0.0287 (multiplicity 4)
Sb: 0.1913 0.0000 0.6818 (multiplicity 4)